This record from Alexandria via LeMat-Bulk describes a relaxed structure of LiS3O9. The functional is PBE.

Unit cell a=14.394 b=6.830 c=10.526 alpha=90.00 beta=130.52 gamma=90.00
Space group Cc (No. 9)
Asymmetric unit:
Li 0.000 0.218 0.000 x4
S 0.101 0.099 0.811 x4
S 0.208 0.400 0.699 x4
S 0.324 0.124 0.571 x4
O 0.019 0.087 0.846 x4
O 0.087 0.046 0.201 x4
O 0.101 0.306 0.763 x4
O 0.138 0.427 0.106 x4
O 0.235 0.284 0.523 x4
O 0.239 0.083 0.991 x4
O 0.330 0.422 0.859 x4
O 0.368 0.150 0.482 x4
O 0.409 0.077 0.745 x4

Output
M_tot ... 4.0 Bohr magnetons per cell
Uncorrected energy ... -5.759 eV/atom
Calculated density ... 2.087 g/cm3